Material: Pr4Bi6O19
Method: DFT, GGA-PBE
State: relaxed

Geometry as extended XYZ:
```
29
Lattice="8.0687 0.0000 -2.8527 -4.0344 6.9877 -2.8527 0.0000 0.0000 8.5582" Properties=species:S:1:pos:R:3 pbc="T T T"
O 5.1842 4.6239 -2.5494
Bi 0.6287 3.4939 4.7236
O 0.1528 4.0908 0.3359
O -1.4312 2.4789 2.0240
Pr 5.7243 0.0000 -2.0238
O 0.0000 0.0000 0.0000
Pr -2.8621 4.9574 -2.0238
O -0.8896 1.9130 5.0340
Bi 0.6943 5.7852 -0.9818
O 1.4312 2.4789 -2.0240
Bi 3.4057 3.4939 -1.8709
O -1.9328 6.8016 2.1813
O 5.2064 0.0000 3.6815
Pr 1.1722 2.0303 0.8289
Bi 5.3573 2.2914 0.9818
O 2.8224 5.2607 -0.6714
Pr 0.0000 0.0000 6.0715
O 0.4152 5.0747 3.1887
Bi -1.3229 4.6963 1.8709
Bi 3.3401 1.2025 3.8345
O 3.3589 2.3638 0.0321
O 4.4020 2.8969 2.8848
O 5.4467 0.1861 0.3034
O 4.3422 1.7270 5.7375
O 2.6032 4.5088 -3.6815
O -0.5681 4.8100 -2.5168
O -2.6032 4.5088 3.6815
O 1.4722 2.1777 3.1561
O 2.8624 0.0000 2.0240
```

Output
The density of states at the Fermi level is 0.507 states/eV/atom. The calculation puts the final energy at -6.3638 eV per atom. The formation energy from raw total energies comes out at -1.65 eV per atom. The calculation puts the total moment at 0.001 μB per cell.

=====

Material: PrBiO
Method: DFT, GGA-PBE
State: relaxed

Geometry as extended XYZ:
```
6
Lattice="4.0082 0.0000 0.0000 -2.0041 3.4712 0.0000 0.0000 0.0000 10.8669" Properties=species:S:1:pos:R:3 pbc="T T T"
Pr 0.0000 2.3141 9.3507
O 2.0041 1.1571 9.9541
Bi 2.0041 1.1571 6.5237
O 0.0000 2.3141 0.9128
Bi 0.0000 2.3141 4.3432
Pr 2.0041 1.1571 1.5161
```

Output
The density of states at the Fermi level is 0.397 states/eV/atom. The calculation puts the final energy at -6.3520 eV per atom. Its energy above the most stable polymorph in this dataset is 0.0 meV/atom. The formation energy from raw total energies comes out at -1.81 eV per atom. The calculation puts the total moment at 0.000 μB per cell.

=====

Material: PrBiO4
Method: DFT, GGA-PBE
State: relaxed

Geometry as extended XYZ:
```
24
Lattice="5.7043 0.0000 0.0000 0.0000 7.9926 -0.0219 0.0000 1.1305 7.9597" Properties=species:S:1:pos:R:3 pbc="T T T"
O 0.5712 5.5247 6.4543
O 5.6852 6.8495 0.9450
O 5.1331 3.5984 1.4834
Pr 1.3174 7.3295 3.1035
O 2.7986 1.8556 6.6303
O 5.0661 5.8679 3.4153
O 0.0192 2.2736 6.9928
O 0.0536 1.2904 2.6505
O 0.6383 3.2553 4.5224
Bi 1.5477 3.6243 6.4695
O 2.2139 2.6900 0.5426
O 2.8713 7.4148 4.9248
Bi 1.3045 3.0591 2.4897
O 2.9058 7.2675 1.3074
O 2.8330 1.7083 3.0129
O 3.4904 6.4331 7.3952
Pr 4.3870 1.7936 4.8343
O 2.2809 4.9594 2.4745
O 3.4234 4.1637 5.4633
Bi 4.1567 5.4988 1.4682
Bi 4.3998 6.0640 5.4481
Pr 1.5348 7.8948 7.0833
O 5.6507 7.8327 5.2873
Pr 4.1695 1.2283 0.8545
```

Output
The calculation puts the final energy at -6.6903 eV per atom. The formation energy from raw total energies comes out at -1.94 eV per atom. The calculation puts the total moment at 0.000 μB per cell.